[1]
# Li3InHg | Alexandria via LeMat-Bulk | PBE | relaxed
data_Li3InHg
_chemical_formula_sum 'Li6 In2 Hg2'
_space_group_name_H-M_alt 'P 1'
_space_group_IT_number 1
_space_group_name_Hall 'P 1'
_cell_length_a 4.8044
_cell_length_b 5.3150
_cell_length_c 8.0908
_cell_angle_alpha 65.08
_cell_angle_beta 90.00
_cell_angle_gamma 90.00
loop_
_atom_site_label
_atom_site_type_symbol
_atom_site_fract_x
_atom_site_fract_y
_atom_site_fract_z
Li1 Li 0.7500 0.2473 0.1773
Li2 Li 0.2500 0.7527 0.8227
Li3 Li 0.2500 0.3289 0.6231
Li4 Li 0.7500 0.6711 0.3769
Li5 Li 0.7500 0.4490 0.7822
Li6 Li 0.2500 0.5510 0.2178
In1 In 0.2500 0.9244 0.4228
In2 In 0.7500 0.0756 0.5772
Hg1 Hg 0.7500 0.8244 0.9936
Hg2 Hg 0.2500 0.1756 0.0064
# E above lowest polymorph in eV/atom: 0.000
# Crystal system: monoclinic
# ΔE_f in eV/atom: -0.3087

---

[2]
# La7Ru2Pb2 | Alexandria via LeMat-Bulk | PBE | relaxed
data_La7Ru2Pb2
_chemical_formula_sum 'La7 Ru2 Pb2'
_space_group_name_H-M_alt 'P 1'
_space_group_IT_number 1
_space_group_name_Hall 'P 1'
_cell_length_a 4.4805
_cell_length_b 9.4020
_cell_length_c 9.4020
_cell_angle_alpha 64.92
_cell_angle_beta 76.22
_cell_angle_gamma 76.22
loop_
_atom_site_label
_atom_site_type_symbol
_atom_site_fract_x
_atom_site_fract_y
_atom_site_fract_z
La1 La 0.8307 0.0306 0.3080
La2 La 0.8813 0.4175 0.8199
La3 La 0.5000 0.0117 0.9883
La4 La 0.5991 0.5085 0.2932
La5 La 0.4009 0.7068 0.4915
La6 La 0.1693 0.6920 0.9694
La7 La 0.1187 0.1801 0.5825
Ru1 Ru 0.0000 0.8065 0.1935
Ru2 Ru 0.5000 0.3467 0.6533
Pb1 Pb 0.7277 0.8491 0.6955
Pb2 Pb 0.2723 0.3045 0.1509
# E above lowest polymorph in eV/atom: 0.000
# Crystal system: orthorhombic
# ΔE_f in eV/atom: -0.3661

---

[3]
# MoPtSe2 | Alexandria via LeMat-Bulk | PBE | relaxed
data_MoPtSe2
_chemical_formula_sum 'Mo1 Pt1 Se2'
_space_group_name_H-M_alt 'P 1'
_space_group_IT_number 1
_space_group_name_Hall 'P 1'
_cell_length_a 3.0778
_cell_length_b 5.5197
_cell_length_c 4.1853
_cell_angle_alpha 90.00
_cell_angle_beta 90.00
_cell_angle_gamma 90.00
loop_
_atom_site_label
_atom_site_type_symbol
_atom_site_fract_x
_atom_site_fract_y
_atom_site_fract_z
Mo1 Mo 0.5000 0.0000 0.5000
Pt1 Pt 0.0000 0.5000 0.5000
Se1 Se 0.0000 0.0000 0.0000
Se2 Se 0.5000 0.5000 0.0000
# E above lowest polymorph in eV/atom: 0.584
# Crystal system: orthorhombic
# ΔE_f (raw) in eV/atom: 0.4480

---

[4]
# Pm2GaI | Alexandria via LeMat-Bulk | PBE | relaxed
data_Pm2GaI
_chemical_formula_sum 'Pm2 Ga1 I1'
_space_group_name_H-M_alt 'P 1'
_space_group_IT_number 1
_space_group_name_Hall 'P 1'
_cell_length_a 4.2745
_cell_length_b 4.2745
_cell_length_c 8.2541
_cell_angle_alpha 74.99
_cell_angle_beta 74.99
_cell_angle_gamma 60.00
loop_
_atom_site_label
_atom_site_type_symbol
_atom_site_fract_x
_atom_site_fract_y
_atom_site_fract_z
Pm1 Pm 0.0689 0.0689 0.7934
Pm2 Pm 0.2649 0.2649 0.2053
Ga1 Ga 0.6679 0.6679 0.9962
I1 I 0.4983 0.4983 0.5051
# E above lowest polymorph in eV/atom: 0.039
# Crystal system: trigonal
# ΔE_f (raw) in eV/atom: -0.7199

---

[5]
# Cd4AgP | Alexandria via LeMat-Bulk | PBE | relaxed
data_Cd4AgP
_chemical_formula_sum 'Cd4 Ag1 P1'
_space_group_name_H-M_alt 'P 1'
_space_group_IT_number 1
_space_group_name_Hall 'P 1'
_cell_length_a 5.7009
_cell_length_b 5.7009
_cell_length_c 5.7009
_cell_angle_alpha 60.00
_cell_angle_beta 60.00
_cell_angle_gamma 60.00
loop_
_atom_site_label
_atom_site_type_symbol
_atom_site_fract_x
_atom_site_fract_y
_atom_site_fract_z
Cd1 Cd 0.8748 0.3751 0.3751
Cd2 Cd 0.3751 0.3751 0.8748
Cd3 Cd 0.3751 0.8748 0.3751
Cd4 Cd 0.3751 0.3751 0.3751
Ag1 Ag 0.0000 0.0000 0.0000
P1 P 0.7500 0.7500 0.7500
# Crystal system: cubic
# ΔE_f in eV/atom: 0.3735

---

[6]
# HfHRh3 | Alexandria via LeMat-Bulk | PBE | relaxed
data_HfHRh3
_chemical_formula_sum 'Hf4 H4 Rh12'
_space_group_name_H-M_alt 'P 1'
_space_group_IT_number 1
_space_group_name_Hall 'P 1'
_cell_length_a 18.0102
_cell_length_b 4.5337
_cell_length_c 7.6293
_cell_angle_alpha 90.00
_cell_angle_beta 155.25
_cell_angle_gamma 90.00
loop_
_atom_site_label
_atom_site_type_symbol
_atom_site_fract_x
_atom_site_fract_y
_atom_site_fract_z
Rh1 Rh 0.3386 0.2500 0.9990
Rh2 Rh 0.6614 0.7500 0.0010
Rh3 Rh 0.1614 0.7500 0.5010
Rh4 Rh 0.8386 0.2500 0.4990
Rh5 Rh 0.4735 0.2500 0.6708
Rh6 Rh 0.5265 0.7500 0.3292
Rh7 Rh 0.0265 0.7500 0.8292
Rh8 Rh 0.9735 0.2500 0.1708
Rh9 Rh 0.4273 0.7499 0.7660
Rh10 Rh 0.5727 0.2501 0.2340
Rh11 Rh 0.0727 0.2499 0.7340
Rh12 Rh 0.9273 0.7501 0.2660
Hf1 Hf 0.2918 0.7495 0.1252
Hf2 Hf 0.7082 0.2505 0.8748
Hf3 Hf 0.2082 0.2495 0.3748
Hf4 Hf 0.7918 0.7505 0.6252
H1 H 0.2965 0.2485 0.1388
H2 H 0.7035 0.7515 0.8612
H3 H 0.2035 0.7485 0.3612
H4 H 0.7965 0.2515 0.6388
# E above lowest polymorph in eV/atom: 0.141
# Crystal system: monoclinic

---

[7]
# CoMo3I | Alexandria via LeMat-Bulk | PBE | relaxed
data_CoMo3I
_chemical_formula_sum 'Co1 Mo3 I1'
_space_group_name_H-M_alt 'P 1'
_space_group_IT_number 1
_space_group_name_Hall 'P 1'
_cell_length_a 4.5678
_cell_length_b 4.5678
_cell_length_c 4.5678
_cell_angle_alpha 90.00
_cell_angle_beta 90.00
_cell_angle_gamma 90.00
loop_
_atom_site_label
_atom_site_type_symbol
_atom_site_fract_x
_atom_site_fract_y
_atom_site_fract_z
I1 I 0.5000 0.5000 0.5000
Mo1 Mo 0.0000 0.5000 0.0000
Mo2 Mo 0.0000 0.0000 0.5000
Mo3 Mo 0.5000 0.0000 0.0000
Co1 Co 0.0000 0.0000 0.0000
# E above lowest polymorph in eV/atom: 0.000
# Crystal system: cubic
# ΔE_f (raw) in eV/atom: 1.4265

---

[8]
# SrPSeS2 | Alexandria via LeMat-Bulk | PBE | relaxed
data_SrPSeS2
_chemical_formula_sum 'Sr1 P1 Se1 S2'
_space_group_name_H-M_alt 'P 1'
_space_group_IT_number 1
_space_group_name_Hall 'P 1'
_cell_length_a 5.5129
_cell_length_b 5.5129
_cell_length_c 5.9775
_cell_angle_alpha 90.00
_cell_angle_beta 90.00
_cell_angle_gamma 90.00
loop_
_atom_site_label
_atom_site_type_symbol
_atom_site_fract_x
_atom_site_fract_y
_atom_site_fract_z
Sr1 Sr 0.0000 0.0000 0.0000
S1 S 0.0000 0.5000 0.0000
S2 S 0.5000 0.0000 0.0000
Se1 Se 0.5000 0.5000 0.5000
P1 P 0.0000 0.0000 0.5000
# E above lowest polymorph in eV/atom: 1.171
# Crystal system: tetragonal
# ΔE_f (raw) in eV/atom: 0.9508